Material: MnReIr
Method: DFT, GGA-PBE
State: relaxed

Geometry as CIF:
```
data_MnReIr
_chemical_formula_sum 'Mn2 Re2 Ir2'
_cell_length_a 2.694
_cell_length_b 2.694
_cell_length_c 11.442
_cell_angle_alpha 90.00
_cell_angle_beta 90.00
_cell_angle_gamma 90.00
_space_group_name_H-M_alt 'I 4 m m'
_space_group_IT_number 107
_space_group_name_Hall 'I 4 -2'
loop_
_atom_site_label
_atom_site_type_symbol
_atom_site_fract_x
_atom_site_fract_y
_atom_site_fract_z
_atom_site_occupancy
Mn1 Mn 0.000 0.000 0.000 1
Re1 Re 0.000 0.000 0.335 1
Ir1 Ir 0.000 0.000 0.665 1
```

## Properties
V = 13.836 A^3/atom
formation energy from the elements = -0.047 eV/atom
energy above the lowest structure with this stoichiometry = 0.034 eV/atom

***

Material: Tl2V2NiS6
Method: DFT, GGA-PBE
State: relaxed

Geometry as CIF:
```
data_Tl2V2NiS6
_chemical_formula_sum 'Tl4 V4 Ni2 S12'
_cell_length_a 5.852
_cell_length_b 10.529
_cell_length_c 7.843
_cell_angle_alpha 90.00
_cell_angle_beta 107.17
_cell_angle_gamma 90.00
_space_group_name_H-M_alt 'C 1 2/m 1'
_space_group_IT_number 12
loop_
_space_group_symop_operation_xyz
'x,y,z'
'-x,-y,-z'
'-x,y,-z'
'x,-y,z'
'x+1/2,y+1/2,z'
'-x+1/2,-y+1/2,-z'
'-x+1/2,y+1/2,-z'
'x+1/2,-y+1/2,z'
loop_
_atom_site_label
_atom_site_type_symbol
_atom_site_fract_x
_atom_site_fract_y
_atom_site_fract_z
_atom_site_occupancy
Tl1 Tl 0.000 0.160 0.000 1
V1 V 0.000 0.313 0.500 1
Ni1 Ni 0.000 0.000 0.500 1
S1 S 0.236 0.500 0.660 1
S2 S 0.243 0.159 0.682 1
```

## Properties
V = 20.984 A^3/atom
ΔE_f (raw) = -0.567 eV per atom

***

Material: MnNb2MoN
Method: DFT, GGA-PBE
State: relaxed

Geometry as CIF:
```
data_MnNb2MoN
_chemical_formula_sum 'Mn1 Nb2 Mo1 N1'
_cell_length_a 4.944
_cell_length_b 4.944
_cell_length_c 3.773
_cell_angle_alpha 90.00
_cell_angle_beta 90.00
_cell_angle_gamma 90.00
_space_group_name_H-M_alt 'P 4/m m m'
_space_group_IT_number 123
_space_group_name_Hall '-P 4 2'
loop_
_atom_site_label
_atom_site_type_symbol
_atom_site_fract_x
_atom_site_fract_y
_atom_site_fract_z
_atom_site_occupancy
Mn1 Mn 0.000 0.000 0.000 1
Nb1 Nb 0.000 0.500 0.500 1
Mo1 Mo 0.500 0.500 0.500 1
N1 N 0.500 0.500 0.000 1
```

## Properties
V = 18.446 A^3/atom
ΔE_f (raw) = 1.570 eV per atom
energy above the lowest structure with this stoichiometry = 1.921 eV/atom